1.
A plane-wave DFT calculation with PBE was carried out for a relaxed Pm2Y2Er7 crystal.

Cell: 8.0195 8.0195 6.0646 Å, 106.58 106.58 91.15°
Closest atoms and distances in Å follow each position.
Positions (direct):
Pm  0.0937  0.0937  0.3078  7 Er 3.43-3.74, 2 Pm 3.46-3.72, 2 Y 3.73
Pm  0.9063  0.9063  0.6922  7 Er 3.43-3.74, 2 Pm 3.46-3.72, 2 Y 3.73
Y  0.2882  0.7118  0.0000  6 Er 3.29-3.45
Y  0.7118  0.2882  0.0000  6 Er 3.29-3.45
Er  0.0890  0.5633  0.3224  6 Er 3.26-3.61, 2 Y 3.29-3.43, 1 Pm 3.64
Er  0.2674  0.2674  0.9231  5 Er 3.33-3.52, 3 Pm 3.43-3.71, 2 Y 3.45
Er  0.4367  0.9110  0.6776  6 Er 3.26-3.61, 2 Y 3.29-3.43, 1 Pm 3.64
Er  0.5000  0.5000  0.5000  6 Er 3.26-3.41
Er  0.5633  0.0890  0.3224  6 Er 3.26-3.61, 2 Y 3.29-3.43, 1 Pm 3.64
Er  0.7326  0.7326  0.0769  5 Er 3.33-3.52, 3 Pm 3.43-3.71, 2 Y 3.45
Er  0.9110  0.4367  0.6776  6 Er 3.26-3.61, 2 Y 3.29-3.43, 1 Pm 3.64

Results
electronic total energy = -4.7877 eV per atom
symmetry = C2/m
calculated volume = 356.1 Å³ per cell

2.
A plane-wave DFT calculation with PBE was carried out for a relaxed Ac5DyMg6 crystal.

Cell: 9.0878 9.0878 8.1347 Å, 90.00 90.00 143.18°
Closest atoms and distances in Å follow each position.
Positions (direct):
Ac  0.0000  0.0000  0.0000  8 Mg 3.49-3.58
Ac  0.3305  0.6695  0.0000  8 Mg 3.56-3.63, 2 Ac 3.99
Ac  0.3342  0.6658  0.5000  8 Mg 3.45-3.57
Ac  0.6658  0.3342  0.5000  8 Mg 3.45-3.57
Ac  0.6695  0.3305  0.0000  8 Mg 3.56-3.63, 2 Ac 3.99
Dy  0.0000  0.0000  0.5000  8 Mg 3.40-3.45
Mg  0.1609  0.8391  0.2594  1 Dy 3.40, 7 Ac 3.47-3.61
Mg  0.1609  0.8391  0.7406  1 Dy 3.40, 7 Ac 3.47-3.61
Mg  0.5000  0.5000  0.2636  6 Ac 3.45-3.63, 2 Dy 3.45, 1 Mg 3.85
Mg  0.5000  0.5000  0.7364  6 Ac 3.45-3.63, 2 Dy 3.45, 1 Mg 3.85
Mg  0.8391  0.1609  0.2594  1 Dy 3.40, 7 Ac 3.47-3.61
Mg  0.8391  0.1609  0.7406  1 Dy 3.40, 7 Ac 3.47-3.61

Results
electronic total energy = -2.9606 eV per atom
symmetry = Cmmm
calculated volume = 402.6 Å³ per cell

| no. | formation energy from the elements (eV per atom) |
| --- | --- |
| 1 | 0.1550 |
| 2 | -0.0680 |